1.
A plane-wave DFT calculation with PBE was carried out for a relaxed Pm5NdSn4 crystal.

Cell lengths 16.4492, 5.4606, 7.2860 Å; angles 90.00, 90.15, 90.00 degrees
Space group C2/m (No. 12)
Symmetry-distinct sites (fractional):
Pm  0.0000  0.0000  0.0000 [2 per cell]
Pm  0.1663  0.5000  0.0080 [4 per cell]
Pm  0.1661  0.5000  0.4927 [4 per cell]
Nd  0.0000  0.0000  0.5000 [2 per cell]
Sn  0.0086  0.5000  0.7514 [4 per cell]
Sn  0.1761  0.0000  0.2496 [4 per cell]

Results
- Fermi-level density of states (states/eV/cell) = 13.19
- magnetic moment (μB per atom) = 0.000
- DFT total energy (eV per cell) = -100.3

---

2.
A plane-wave DFT calculation with PBE was carried out for a relaxed PmNdSn crystal.

Cell lengths 5.5552, 5.5552, 6.7654 Å; angles 90.00, 90.00, 120.00 degrees
Space group P6_3/mmc (No. 194)
Symmetry-distinct sites (fractional):
Pm  0.0000  0.0000  0.0000 [2 per cell]
Nd  0.3333  0.6667  0.2500 [2 per cell]
Sn  0.3333  0.6667  0.7500 [2 per cell]

Results
- relative energy among the computed polymorphs (meV/atom) = 0
- Fermi-level density of states (states/eV/cell) = 5.94
- magnetic moment (μB per atom) = 0.310
- DFT total energy (eV per cell) = -30.5

---

3.
A plane-wave DFT calculation with PBE was carried out for a relaxed PmNdSn crystal.

Cell lengths 7.4811, 7.4811, 7.4811 Å; angles 90.00, 90.00, 90.00 degrees
Space group F-43m (No. 216)
Symmetry-distinct sites (fractional):
Pm  0.0000  0.0000  0.0000 [4 per cell]
Nd  0.0000  0.0000  0.5000 [4 per cell]
Sn  0.2500  0.2500  0.7500 [4 per cell]

Results
- relative energy among the computed polymorphs (meV/atom) = 135
- Fermi-level density of states (states/eV/cell) = 15.07
- magnetic moment (μB per atom) = 0.001
- DFT total energy (eV per cell) = -59.3

---

4.
A plane-wave DFT calculation with PBE was carried out for a relaxed Pm5NdSn6 crystal.

Cell lengths 4.9602, 15.0752, 9.0564 Å; angles 90.00, 90.00, 90.00 degrees
Space group Cmmm (No. 65)
Symmetry-distinct sites (fractional):
Pm  0.0000  0.0000  0.0000 [2 per cell]
Pm  0.0000  0.3333  0.0000 [4 per cell]
Pm  0.0000  0.3331  0.5000 [4 per cell]
Nd  0.0000  0.0000  0.5000 [2 per cell]
Sn  0.0000  0.1671  0.2495 [8 per cell]
Sn  0.0000  0.5000  0.2493 [4 per cell]

Results
- Fermi-level density of states (states/eV/cell) = 21.12
- magnetic moment (μB per atom) = 0.000
- DFT total energy (eV per cell) = -121.2

---

5.
A plane-wave DFT calculation with PBE was carried out for a relaxed Pm7Nd2Sn2 crystal.

Cell lengths 4.1302, 18.9745, 9.6812 Å; angles 90.00, 90.00, 90.00 degrees
Space group Imm2 (No. 44)
Symmetry-distinct sites (fractional):
Pm  0.0000  0.0000  0.0000 [2 per cell]
Pm  0.0000  0.1385  0.4500 [4 per cell]
Pm  0.0000  0.3301  0.6504 [4 per cell]
Pm  0.0000  0.3556  0.2724 [4 per cell]
Nd  0.0000  0.0000  0.6472 [2 per cell]
Nd  0.0000  0.5000  0.8169 [2 per cell]
Sn  0.0000  0.2389  0.9429 [4 per cell]

Results
- Fermi-level density of states (states/eV/cell) = 29.27
- magnetic moment (μB per atom) = 0.000
- DFT total energy (eV per cell) = -105.0

---

6.
A plane-wave DFT calculation with PBE was carried out for a relaxed Pm2Nd3Sn2 crystal.

Cell lengths 17.1848, 3.5761, 8.1574 Å; angles 90.00, 116.38, 90.00 degrees
Space group C2/m (No. 12)
Symmetry-distinct sites (fractional):
Pm  0.1112  0.0000  0.4709 [4 per cell]
Nd  0.0000  0.0000  0.0000 [2 per cell]
Nd  0.2121  0.0000  0.1503 [4 per cell]
Sn  0.0812  0.5000  0.7738 [4 per cell]

Results
- Fermi-level density of states (states/eV/cell) = 16.47
- magnetic moment (μB per atom) = 0.000
- DFT total energy (eV per cell) = -67.8

---

7.
A plane-wave DFT calculation with PBE was carried out for a relaxed Pm4NdSn2 crystal.

Cell lengths 5.9582, 5.9582, 12.7688 Å; angles 90.00, 90.00, 90.00 degrees
Space group I4/mmm (No. 139)
Symmetry-distinct sites (fractional):
Pm  0.0000  0.5000  0.0000 [4 per cell]
Pm  0.0000  0.5000  0.2500 [4 per cell]
Nd  0.0000  0.0000  0.0000 [2 per cell]
Sn  0.0000  0.0000  0.3725 [4 per cell]

Results
- Fermi-level density of states (states/eV/cell) = 11.43
- magnetic moment (μB per atom) = 0.000
- DFT total energy (eV per cell) = -64.6

---

8.
A plane-wave DFT calculation with PBE was carried out for a relaxed Pm5Nd3Sn crystal.

Cell lengths 9.9876, 11.8463, 11.4993 Å; angles 90.00, 90.27, 90.00 degrees
Space group C2/m (No. 12)
Symmetry-distinct sites (fractional):
Pm  0.0000  0.2447  0.0000 [4 per cell]
Pm  0.0181  0.0000  0.2393 [4 per cell]
Pm  0.1309  0.2522  0.6419 [8 per cell]
Pm  0.1805  0.0000  0.0046 [4 per cell]
Nd  0.0000  0.5000  0.0000 [2 per cell]
Nd  0.0000  0.5000  0.5000 [2 per cell]
Nd  0.1658  0.0000  0.4864 [4 per cell]
Nd  0.1724  0.5000  0.2483 [4 per cell]
Sn  0.1546  0.5000  0.7575 [4 per cell]

Results
- Fermi-level density of states (states/eV/cell) = 58.46
- magnetic moment (μB per atom) = 0.000
- DFT total energy (eV per cell) = -158.7

---

9.
A plane-wave DFT calculation with PBE was carried out for a relaxed Pm8Nd5Sn crystal.

Cell lengths 14.4152, 9.0771, 9.2500 Å; angles 90.00, 126.39, 90.00 degrees
Space group C2 (No. 5)
Symmetry-distinct sites (fractional):
Pm  0.0750  0.0000  0.4254 [4 per cell]
Pm  0.1726  0.3724  0.6404 [4 per cell]
Pm  0.2331  0.5635  0.0401 [4 per cell]
Pm  0.2363  0.2442  0.3199 [4 per cell]
Nd  0.0000  0.9307  0.0000 [2 per cell]
Nd  0.0475  0.2701  0.8661 [4 per cell]
Nd  0.0903  0.5959  0.2504 [4 per cell]
Sn  0.0000  0.6673  0.5000 [2 per cell]

Results
- Fermi-level density of states (states/eV/cell) = 39.56
- magnetic moment (μB per atom) = 0.000
- DFT total energy (eV per cell) = -129.8

---

10.
A plane-wave DFT calculation with PBE was carried out for a relaxed Pm3Nd2Sn6 crystal.

Cell lengths 5.9560, 5.9560, 22.1679 Å; angles 90.00, 90.00, 90.00 degrees
Space group I4/mmm (No. 139)
Symmetry-distinct sites (fractional):
Pm  0.0000  0.0000  0.0000 [2 per cell]
Pm  0.0000  0.0000  0.1483 [4 per cell]
Nd  0.0000  0.0000  0.4235 [4 per cell]
Sn  0.0000  0.0000  0.2871 [4 per cell]
Sn  0.0000  0.5000  0.0706 [8 per cell]

Results
- Fermi-level density of states (states/eV/cell) = 16.88
- magnetic moment (μB per atom) = 0.000
- DFT total energy (eV per cell) = -100.1

---

11.
A plane-wave DFT calculation with PBE was carried out for a relaxed Pm5Nd2Sn5 crystal.

Cell lengths 14.8386, 4.4615, 13.0607 Å; angles 90.00, 107.68, 90.00 degrees
Space group C2/m (No. 12)
Symmetry-distinct sites (fractional):
Pm  0.0000  0.0000  0.0000 [2 per cell]
Pm  0.1585  0.0000  0.5421 [4 per cell]
Pm  0.2305  0.0000  0.8480 [4 per cell]
Nd  0.0487  0.5000  0.2830 [4 per cell]
Sn  0.0000  0.5000  0.5000 [2 per cell]
Sn  0.1177  0.5000  0.9292 [4 per cell]
Sn  0.2036  0.0000  0.3000 [4 per cell]

Results
- Fermi-level density of states (states/eV/cell) = 15.96
- magnetic moment (μB per atom) = 0.081
- DFT total energy (eV per cell) = -119.6

---

12.
A plane-wave DFT calculation with PBE was carried out for a relaxed Pm2Nd2Sn5 crystal.

Cell lengths 16.6616, 8.2080, 8.2104 Å; angles 90.00, 90.00, 90.00 degrees
Space group Cmce (No. 64)
Symmetry-distinct sites (fractional):
Pm  0.0000  0.1692  0.1691 [8 per cell]
Nd  0.1892  0.0000  0.5000 [8 per cell]
Sn  0.0000  0.0000  0.5000 [4 per cell]
Sn  0.1351  0.1272  0.8739 [16 per cell]

Results
- Fermi-level density of states (states/eV/cell) = 12.53
- magnetic moment (μB per atom) = 0.000
- DFT total energy (eV per cell) = -178.2

---

no.,E_form (eV/atom)
1,-0.5639
2,-0.5728
3,-0.4376
4,-0.6737
5,-0.1531
6,-0.2973
7,-0.0719
8,0.2655
9,0.0661
10,-0.2023
11,-0.5410
12,-0.6118